Entry 1:
# TcHgTe2 (PBEsol, optimized geometry)
data_TcHgTe2
_cell_length_a 3.1255
_cell_length_b 3.1255
_cell_length_c 9.5481
_cell_angle_alpha 90.00
_cell_angle_beta 90.00
_cell_angle_gamma 90.00
_space_group_name_H-M_alt 'P 1'
_space_group_IT_number 1
_space_group_name_Hall 'P 1'
loop_
_atom_site_label
_atom_site_fract_x
_atom_site_fract_y
_atom_site_fract_z
Hg1 0.0000 0.0000 0.5615
Tc1 0.5000 0.5000 0.7584
Te1 0.0000 0.0000 0.9177
Te2 0.5000 0.5000 0.2624
# E (eV per cell): -18.15
# ΔE_f (raw) (eV/atom): 0.183
# Space group: P4mm, No. 99


Entry 2:
# TiTc3Hg (PBEsol, optimized geometry)
data_TiTc3Hg
_cell_length_a 4.4769
_cell_length_b 4.4769
_cell_length_c 4.4769
_cell_angle_alpha 90.00
_cell_angle_beta 90.00
_cell_angle_gamma 90.00
_space_group_name_H-M_alt 'P 1'
_space_group_IT_number 1
_space_group_name_Hall 'P 1'
loop_
_atom_site_label
_atom_site_fract_x
_atom_site_fract_y
_atom_site_fract_z
Ti1 0.0000 0.0000 0.0000
Hg1 0.5000 0.5000 0.5000
Tc1 0.0000 0.5000 0.0000
Tc2 0.0000 0.0000 0.5000
Tc3 0.5000 0.0000 0.0000
# E (eV per cell): -35.67
# Formation energy from the elements (eV per atom): 1.403
# Space group: Pm-3m, No. 221


Entry 3:
# Tl2TcHg (PBEsol, optimized geometry)
data_Tl2TcHg
_cell_length_a 4.9612
_cell_length_b 4.9612
_cell_length_c 4.9612
_cell_angle_alpha 60.00
_cell_angle_beta 60.00
_cell_angle_gamma 60.00
_space_group_name_H-M_alt 'P 1'
_space_group_IT_number 1
_space_group_name_Hall 'P 1'
loop_
_atom_site_label
_atom_site_fract_x
_atom_site_fract_y
_atom_site_fract_z
Hg1 0.5000 0.5000 0.5000
Tc1 0.2500 0.2500 0.2500
Tl1 0.0000 0.0000 0.0000
Tl2 0.7500 0.7500 0.7500
# E (eV per cell): -13.73
# Formation energy from the elements (eV per atom): 0.841
# Space group: F-43m, No. 216


Entry 4:
# TlTc2Hg (PBEsol, optimized geometry)
data_TlTc2Hg
_cell_length_a 4.1074
_cell_length_b 4.1074
_cell_length_c 4.9651
_cell_angle_alpha 114.43
_cell_angle_beta 114.43
_cell_angle_gamma 90.00
_space_group_name_H-M_alt 'P 1'
_space_group_IT_number 1
_space_group_name_Hall 'P 1'
loop_
_atom_site_label
_atom_site_fract_x
_atom_site_fract_y
_atom_site_fract_z
Hg1 0.2500 0.7500 0.5000
Tc1 0.0000 0.0000 0.0000
Tc2 0.7500 0.2500 0.5000
Tl1 0.5000 0.5000 0.0000
# E (eV per cell): -22.65
# Formation energy from the elements (eV per atom): 0.770
# Space group: I-4m2, No. 119


Entry 5:
# TlTcHg2 (PBEsol, optimized geometry)
data_TlTcHg2
_cell_length_a 2.9269
_cell_length_b 5.2134
_cell_length_c 5.2134
_cell_angle_alpha 90.00
_cell_angle_beta 90.00
_cell_angle_gamma 90.00
_space_group_name_H-M_alt 'P 1'
_space_group_IT_number 1
_space_group_name_Hall 'P 1'
loop_
_atom_site_label
_atom_site_fract_x
_atom_site_fract_y
_atom_site_fract_z
Hg1 0.0000 0.0000 0.5000
Hg2 0.0000 0.5000 0.0000
Tc1 0.5000 0.5000 0.5000
Tl1 0.5000 0.0000 0.0000
# E (eV per cell): -12.53
# Formation energy from the elements (eV per atom): 0.625
# Space group: P4/mmm, No. 123


Entry 6:
# TlTcHg2 (PBEsol, optimized geometry)
data_TlTcHg2
_cell_length_a 3.0549
_cell_length_b 3.0549
_cell_length_c 10.2548
_cell_angle_alpha 81.43
_cell_angle_beta 81.43
_cell_angle_gamma 60.00
_space_group_name_H-M_alt 'P 1'
_space_group_IT_number 1
_space_group_name_Hall 'P 1'
loop_
_atom_site_label
_atom_site_fract_x
_atom_site_fract_y
_atom_site_fract_z
Hg1 0.2398 0.2398 0.2807
Hg2 0.7602 0.7602 0.7193
Tc1 0.5000 0.5000 0.5000
Tl1 0.0000 0.0000 0.0000
# E (eV per cell): -13.00
# Formation energy from the elements (eV per atom): 0.509
# Space group: R-3m, No. 166


Entry 7:
# Tl2TcHg (PBEsol, optimized geometry)
data_Tl2TcHg
_cell_length_a 3.5667
_cell_length_b 4.3147
_cell_length_c 5.7720
_cell_angle_alpha 90.00
_cell_angle_beta 108.04
_cell_angle_gamma 90.00
_space_group_name_H-M_alt 'P 1'
_space_group_IT_number 1
_space_group_name_Hall 'P 1'
loop_
_atom_site_label
_atom_site_fract_x
_atom_site_fract_y
_atom_site_fract_z
Hg1 0.3030 0.0000 0.4806
Tc1 0.4585 0.5000 0.7924
Tl1 0.0236 0.0000 0.9220
Tl2 0.7150 0.5000 0.3049
# E (eV per cell): -14.84
# Formation energy from the elements (eV per atom): 0.563
# Space group: Amm2, No. 38


Entry 8:
# TcHg2W (PBEsol, optimized geometry)
data_TcHg2W
_cell_length_a 3.1412
_cell_length_b 4.8190
_cell_length_c 5.5066
_cell_angle_alpha 115.95
_cell_angle_beta 106.57
_cell_angle_gamma 90.00
_space_group_name_H-M_alt 'P 1'
_space_group_IT_number 1
_space_group_name_Hall 'P 1'
loop_
_atom_site_label
_atom_site_fract_x
_atom_site_fract_y
_atom_site_fract_z
Hg1 0.0107 0.0107 0.0213
Hg2 0.2386 0.7386 0.4773
Tc1 0.4730 0.4730 0.9461
W1 0.7777 0.2777 0.5553
# E (eV per cell): -23.80
# Formation energy from the elements (eV per atom): 0.601
# Space group: Imm2, No. 44


Entry 9:
# TcHg2W (PBEsol, optimized geometry)
data_TcHg2W
_cell_length_a 2.9248
_cell_length_b 4.9321
_cell_length_c 5.0200
_cell_angle_alpha 100.05
_cell_angle_beta 106.94
_cell_angle_gamma 90.00
_space_group_name_H-M_alt 'P 1'
_space_group_IT_number 1
_space_group_name_Hall 'P 1'
loop_
_atom_site_label
_atom_site_fract_x
_atom_site_fract_y
_atom_site_fract_z
Hg1 0.2516 0.2520 0.5031
Hg2 0.7484 0.7480 0.4969
Tc1 0.0000 0.5000 0.0000
W1 0.5000 0.0000 0.0000
# E (eV per cell): -23.42
# Formation energy from the elements (eV per atom): 0.696
# Space group: C2/m, No. 12


Entry 10:
# YTc2Hg (PBEsol, optimized geometry)
data_YTc2Hg
_cell_length_a 2.8314
_cell_length_b 2.8314
_cell_length_c 8.9711
_cell_angle_alpha 90.00
_cell_angle_beta 90.00
_cell_angle_gamma 90.00
_space_group_name_H-M_alt 'P 1'
_space_group_IT_number 1
_space_group_name_Hall 'P 1'
loop_
_atom_site_label
_atom_site_fract_x
_atom_site_fract_y
_atom_site_fract_z
Hg1 0.5000 0.5000 0.5000
Tc1 0.0000 0.0000 0.7378
Tc2 0.0000 0.0000 0.2622
Y1 0.5000 0.5000 0.0000
# E (eV per cell): -27.28
# Formation energy from the elements (eV per atom): 0.659
# Space group: P4/mmm, No. 123


Entry 11:
# Y4TcHg (PBEsol, optimized geometry)
data_Y4TcHg
_cell_length_a 5.8941
_cell_length_b 5.8941
_cell_length_c 5.8941
_cell_angle_alpha 60.00
_cell_angle_beta 60.00
_cell_angle_gamma 60.00
_space_group_name_H-M_alt 'P 1'
_space_group_IT_number 1
_space_group_name_Hall 'P 1'
loop_
_atom_site_label
_atom_site_fract_x
_atom_site_fract_y
_atom_site_fract_z
Hg1 0.7500 0.7500 0.7500
Tc1 0.0000 0.0000 0.0000
Y1 0.3738 0.3738 0.3738
Y2 0.3738 0.3738 0.8786
Y3 0.8786 0.3738 0.3738
Y4 0.3738 0.8786 0.3738
# E (eV per cell): -34.79
# Formation energy from the elements (eV per atom): 0.721
# Space group: F-43m, No. 216


Entry 12:
# Zn2TcHg (PBEsol, optimized geometry)
data_Zn2TcHg
_cell_length_a 2.7436
_cell_length_b 2.7436
_cell_length_c 8.6646
_cell_angle_alpha 90.00
_cell_angle_beta 90.00
_cell_angle_gamma 103.66
_space_group_name_H-M_alt 'P 1'
_space_group_IT_number 1
_space_group_name_Hall 'P 1'
loop_
_atom_site_label
_atom_site_fract_x
_atom_site_fract_y
_atom_site_fract_z
Hg1 0.5000 0.5000 0.5000
Tc1 0.5000 0.5000 0.0000
Zn1 0.0000 0.0000 0.2254
Zn2 0.0000 0.0000 0.7746
# E (eV per cell): -14.02
# Formation energy from the elements (eV per atom): 0.244
# Space group: Cmmm, No. 65


Entry 13:
# Zn2TcHg (PBEsol, optimized geometry)
data_Zn2TcHg
_cell_length_a 2.8446
_cell_length_b 4.7846
_cell_length_c 5.3838
_cell_angle_alpha 116.38
_cell_angle_beta 105.32
_cell_angle_gamma 90.00
_space_group_name_H-M_alt 'P 1'
_space_group_IT_number 1
_space_group_name_Hall 'P 1'
loop_
_atom_site_label
_atom_site_fract_x
_atom_site_fract_y
_atom_site_fract_z
Hg1 0.5000 0.0000 0.0000
Tc1 0.0000 0.5000 0.0000
Zn1 0.7387 0.7387 0.4773
Zn2 0.2613 0.2613 0.5227
# E (eV per cell): -13.80
# Formation energy from the elements (eV per atom): 0.298
# Space group: Immm, No. 71


Entry 14:
# Zn2TcHg (PBEsol, optimized geometry)
data_Zn2TcHg
_cell_length_a 2.7977
_cell_length_b 3.8045
_cell_length_c 5.7921
_cell_angle_alpha 90.00
_cell_angle_beta 90.07
_cell_angle_gamma 90.00
_space_group_name_H-M_alt 'P 1'
_space_group_IT_number 1
_space_group_name_Hall 'P 1'
loop_
_atom_site_label
_atom_site_fract_x
_atom_site_fract_y
_atom_site_fract_z
Hg1 0.5000 0.5000 0.0000
Tc1 0.5000 0.5000 0.5000
Zn1 0.0005 0.0000 0.7184
Zn2 0.9995 0.0000 0.2816
# E (eV per cell): -14.17
# Formation energy from the elements (eV per atom): 0.207
# Space group: P2/m, No. 10


Entry 15:
# Zn2TcHg (PBEsol, optimized geometry)
data_Zn2TcHg
_cell_length_a 2.7737
_cell_length_b 4.7211
_cell_length_c 5.0441
_cell_angle_alpha 99.21
_cell_angle_beta 90.00
_cell_angle_gamma 107.08
_space_group_name_H-M_alt 'P 1'
_space_group_IT_number 1
_space_group_name_Hall 'P 1'
loop_
_atom_site_label
_atom_site_fract_x
_atom_site_fract_y
_atom_site_fract_z
Hg1 0.0000 0.0000 0.5000
Tc1 0.5000 0.0000 0.0000
Zn1 0.7574 0.5148 0.7820
Zn2 0.2426 0.4852 0.2180
# E (eV per cell): -14.01
# Formation energy from the elements (eV per atom): 0.246
# Space group: C2/m, No. 12